# 1
Crystalline TlGa2PtAu at its relaxed geometry. Source: Alexandria, functional PBE.

Geometry as extended XYZ:
```
5
Lattice="4.824 0.000 0.000 0.000 4.824 0.000 0.000 0.000 5.529" Properties=species:S:1:pos:R:3 pbc="T T T"
Tl 0.000 0.000 0.000
Ga 0.000 2.412 2.765
Ga 2.412 0.000 2.765
Pt 2.412 2.412 0.000
Au 0.000 0.000 2.765
```


# 2
Crystalline UGaPtAu at its relaxed geometry. Source: Alexandria, functional PBE.

Geometry as extended XYZ:
```
4
Lattice="0.000 3.397 3.397 3.397 0.000 3.397 3.397 3.397 0.000" Properties=species:S:1:pos:R:3 pbc="T T T"
U 0.000 0.000 0.000
Ga 3.397 3.397 3.397
Pt 1.699 1.699 1.699
Au 5.096 5.096 5.096
```


# 3
Crystalline Y2Ga4Pt3Au at its relaxed geometry. Source: Alexandria, functional PBE.

Geometry as extended XYZ:
```
10
Lattice="4.203 0.000 0.000 0.000 4.203 0.000 0.000 0.000 10.817" Properties=species:S:1:pos:R:3 pbc="T T T"
Y 0.000 2.101 2.623
Y 2.101 0.000 8.194
Ga 0.000 0.000 0.000
Ga 0.000 2.101 6.901
Ga 2.101 0.000 3.916
Ga 2.101 2.101 0.000
Pt 0.000 2.101 9.353
Pt 2.101 0.000 1.464
Pt 2.101 2.101 5.408
Au 0.000 0.000 5.408
```


| no. | calculated total energy (eV per atom) |
| --- | --- |
| 1 | -3.09 |
| 2 | -6.29 |
| 3 | -5.51 |